Record 1
## Cs3Hg2Pd2 (PBE)

Data for a relaxed structure of Cs3Hg2Pd2.

Lattice parameters (Å, degrees): 7.0746 9.7830 14.8713 90.00 90.00 90.00
Last column: nearest neighbours and their distance in Å.
Space group Pbcm (No. 57)
Inequivalent atoms, fractional coordinates:
Cs  0.1377  0.1129  0.0994  2 Pd 3.32-3.59
Cs  0.3169  0.7184  0.7500  4 Hg 3.44-3.79, 2 Pd 3.83
Hg  0.2428  0.0682  0.7500  2 Pd 2.81
Hg  0.4150  0.7500  0.0000  4 Pd 2.88-2.89
Pd  0.3904  0.0185  0.5777  1 Pd 2.81, 3 Hg 2.81-2.89

Computed properties:
The crystal system is orthorhombic. The calculation puts the spin magnetization at 0.00 μB per cell. Its energy of formation from the pure elements is -0.149 eV/atom.

Record 2
## Er5MgHg4 (PBE)

Data for a relaxed structure of Er5MgHg4.

Lattice parameters (Å, degrees): 3.7094 3.7094 18.4294 90.00 90.00 90.00
Last column: nearest neighbours and their distance in Å.
Space group P4/mmm (No. 123)
Inequivalent atoms, fractional coordinates:
Er  0.0000  0.0000  0.0000  8 Hg 3.20
Er  0.0000  0.0000  0.1989  8 Hg 3.20-3.24
Er  0.0000  0.0000  0.3967  4 Hg 3.15, 4 Mg 3.24
Mg  0.5000  0.5000  0.5000  8 Er 3.24
Hg  0.5000  0.5000  0.0994  8 Er 3.20
Hg  0.5000  0.5000  0.3018  8 Er 3.15-3.24

Computed properties:
The crystal system is tetragonal. The calculation puts the spin magnetization at 0.00 μB per cell. Its energy of formation from the pure elements is -0.398 eV/atom.

Record 3
## Ca3AlZn2 (PBE)

Data for a relaxed structure of Ca3AlZn2.

Lattice parameters (Å, degrees): 3.7055 3.7055 10.9856 90.00 90.00 90.00
Last column: nearest neighbours and their distance in Å.
Space group P4/mmm (No. 123)
Inequivalent atoms, fractional coordinates:
Ca  0.0000  0.0000  0.0000  8 Zn 3.23
Ca  0.0000  0.0000  0.3306  4 Zn 3.15, 4 Al 3.21
Al  0.5000  0.5000  0.5000  8 Ca 3.21
Zn  0.5000  0.5000  0.1713  8 Ca 3.15-3.23

Computed properties:
The crystal system is tetragonal. The calculation puts the spin magnetization at 0.00 μB per cell. As for the energy above the lowest structure with this stoichiometry: 4.7 meV/atom. Its energy of formation from the pure elements is -0.226 eV/atom.

Record 4
## LiSi2Ni (PBE)

Data for a relaxed structure of LiSi2Ni.

Lattice parameters (Å, degrees): 2.7287 2.7287 24.1170 90.00 90.00 120.00
Last column: nearest neighbours and their distance in Å.
Space group R-3m (No. 166, hexagonal axes)
Inequivalent atoms, fractional coordinates:
Li  0.0000  0.0000  0.0000  6 Si 2.70, 6 Li 2.73
Si  0.0000  0.0000  0.2423  3 Ni 2.41
Ni  0.0000  0.0000  0.5000  6 Si 2.41

Computed properties:
The crystal system is trigonal. The calculation puts the spin magnetization at 0.00 μB per cell. As for the energy above the lowest structure with this stoichiometry: 124.5 meV/atom. Its uncorrected formation energy is -0.93 eV/f.u.

no.,density of states at the Fermi level (states/eV/atom)
1,0.453
2,0.909
3,0.672
4,0.319